Here is a relaxed structure of InAg2Sb2 from Alexandria via LeMat-Bulk. Energies are from PBE.

The formation energy without anion corrections comes out at 0.10 eV per atom. For the offset from the most stable computed form, the calculation gives 0 meV per atom. The mass density comes out at 7.1 Mg/m³.

It has space group I4/mmm (No. 139), with a = 4.764 Å, b = 4.764 Å, c = 11.902 Å, α = 90.00°, β = 90.00° and γ = 90.00°. The distinct sites, in fractional coordinates, are In at (0.000, 0.000, 0.000), Ag at (0.000, 0.500, 0.250) and Sb at (0.000, 0.000, 0.380).



Here is a relaxed structure of Sr2Zn2Co from Alexandria via LeMat-Bulk. Energies are from PBE.

For the offset from the most stable computed form, the calculation gives 0 meV per atom. The value obtained for the formation enthalpy at 0 K is 0.192 eV per atom. The mass density comes out at 4.9 Mg/m³.

It has space group P4/mbm (No. 127), with a = 7.096 Å, b = 7.096 Å, c = 4.960 Å, α = 90.00°, β = 90.00° and γ = 90.00°. The distinct sites, in fractional coordinates, are Sr at (0.183, 0.317, 0.000), Zn at (0.134, 0.634, 0.500) and Co at (0.000, 0.000, 0.500).



Here is a relaxed structure of CaAsSe from Alexandria via LeMat-Bulk. Energies are from PBE.

The formation energy without anion corrections comes out at -0.85 eV per atom. The mass density comes out at 3.8 Mg/m³.

It has space group I4mm (No. 107), with a = 3.929 Å, b = 3.929 Å, c = 10.916 Å, α = 90.00°, β = 90.00° and γ = 90.00°. The distinct sites, in fractional coordinates, are Ca at (0.000, 0.000, 0.000), As at (0.000, 0.000, 0.623) and Se at (0.000, 0.000, 0.397).



Here is a relaxed structure of TaCr2NiN from Alexandria via LeMat-Bulk. Energies are from PBE.

The formation energy without anion corrections comes out at 1.08 eV per atom. The mass density comes out at 8.1 Mg/m³.

It has space group P4/mmm (No. 123), with a = 4.698 Å, b = 4.698 Å, c = 3.324 Å, α = 90.00°, β = 90.00° and γ = 90.00°. The distinct sites, in fractional coordinates, are Ta at (0.000, 0.000, 0.000), Cr at (0.000, 0.500, 0.500), Ni at (0.500, 0.500, 0.500) and N at (0.500, 0.500, 0.000).



Here is a relaxed structure of Cd4SbSeI2 from Alexandria via LeMat-Bulk. Energies are from PBE.

The formation energy without anion corrections comes out at -0.29 eV per atom. The mass density comes out at 4.9 Mg/m³.

It has space group Pmn2_1 (No. 31), with a = 10.297 Å, b = 7.846 Å, c = 7.617 Å, α = 90.00°, β = 90.00° and γ = 90.00°. The distinct sites, in fractional coordinates, are Cd at (0.000, 0.094, 0.000), Cd at (0.000, 0.890, 0.492), Cd at (0.246, 0.686, 0.075), Sb at (0.000, 0.205, 0.655), Se at (0.000, 0.788, 0.157) and I at (0.249, 0.294, 0.151).



Number 1: total moment 0.0 μB/f.u., raw total energy -16.20 eV/f.u.. Number 2: total moment 1.1 μB/f.u., raw total energy -12.06 eV/f.u.. Number 3: total moment 0.0 μB/f.u., raw total energy -12.68 eV/f.u.. Number 4: total moment 5.0 μB/f.u., raw total energy -39.81 eV/f.u.. Number 5: total moment 0.0 μB/f.u., raw total energy -16.67 eV/f.u..